[1]
Density functional theory data (PBE) for an optimized crystal structure of Si3GeN.

Lattice parameters (Å, degrees): 4.6913 4.6913 4.6913 90.00 90.00 90.00
Element x y z (fractional)
Si1 0.0000 0.0000 0.5000
Si2 0.0000 0.5000 0.0000
Si3 0.5000 0.0000 0.0000
Ge1 0.0000 0.0000 0.0000
N1 0.5000 0.5000 0.5000

## Properties
Formation energy from raw total energies = 2.05 eV per atom
Energy above the lowest structure with this stoichiometry = 1345 meV/atom
Energy = -18.945 eV for the cell shown

[2]
Density functional theory data (PBE) for an optimized crystal structure of KBeW.

Lattice parameters (Å, degrees): 7.5202 7.5129 2.7908 79.45 79.15 21.40
Element x y z (fractional)
K1 0.0000 0.0000 0.0000
Be1 0.3094 0.3094 0.6906
W1 0.7064 0.7064 0.2936

## Properties
Energy above the lowest structure with this stoichiometry = 26 meV/atom
Energy = -14.540 eV for the cell shown
ΔH_f (0 K) = 1079 meV/atom

[3]
Density functional theory data (PBE) for an optimized crystal structure of LiSbMo3.

Lattice parameters (Å, degrees): 4.3161 4.3161 4.3161 90.00 90.00 90.00
Element x y z (fractional)
Li1 0.0000 0.0000 0.0000
Sb1 0.5000 0.5000 0.5000
Mo1 0.0000 0.0000 0.5000
Mo2 0.0000 0.5000 0.0000
Mo3 0.5000 0.0000 0.0000

## Properties
Formation energy from raw total energies = 1.16 eV per atom
Energy above the lowest structure with this stoichiometry = 0 meV/atom
Energy = -32.726 eV for the cell shown

[4]
Density functional theory data (PBE) for an optimized crystal structure of Th8TlHg2.

Lattice parameters (Å, degrees): 8.8623 8.8623 6.3352 90.35 90.35 43.56
Element x y z (fractional)
Th1 0.0833 0.0833 0.3968
Th2 0.1565 0.6568 0.1155
Th3 0.2899 0.2899 0.6329
Th4 0.3432 0.8435 0.8845
Th5 0.6568 0.1565 0.1155
Th6 0.7101 0.7101 0.3671
Th7 0.8435 0.3432 0.8845
Th8 0.9167 0.9167 0.6032
Tl1 0.5000 0.5000 0.5000
Hg1 0.2407 0.2407 0.1320
Hg2 0.7593 0.7593 0.8680

## Properties
Energy = -61.731 eV for the cell shown
ΔH_f (0 K) = 54 meV/atom